1.
Density functional theory data (PBE) for a relaxed structure of UBrO2.

Summary:
**Calculated density**: 6.47 g/cm³
**E_tot**: -8.3900 eV per atom
**Magnetic moment**: 4.0 μB/cell
**Energy above the lowest structure with this stoichiometry**: 0.000 eV per atom

The structure in CIF format:
```
data_UBrO2
_chemical_formula_sum 'U4 Br4 O8'
_cell_length_a 4.149
_cell_length_b 21.587
_cell_length_c 4.010
_cell_angle_alpha 90.00
_cell_angle_beta 90.00
_cell_angle_gamma 90.00
_symmetry_space_group_name_H-M 'C m c m'
_symmetry_Int_Tables_number 63
_symmetry_space_group_name_Hall '-C 2c 2'
loop_
_atom_site_label
_atom_site_fract_x
_atom_site_fract_y
_atom_site_fract_z
U1 0.000 0.073 0.250
Br1 0.000 0.175 0.750
O1 0.000 0.034 0.750
O2 0.000 0.425 0.750
```

---

2.
Density functional theory data (PBE) for a relaxed structure of UBr2O.

Summary:
**Calculated density**: 6.47 g/cm³
**E_tot**: -6.9247 eV per atom
**Magnetic moment**: 4.0 μB/cell

The structure in CIF format:
```
data_UBr2O
_chemical_formula_sum 'U2 Br4 O2'
_cell_length_a 6.653
_cell_length_b 3.841
_cell_length_c 8.424
_cell_angle_alpha 90.00
_cell_angle_beta 99.18
_cell_angle_gamma 90.00
_symmetry_space_group_name_H-M 'C 1 m 1'
_symmetry_Int_Tables_number 8
loop_
_symmetry_equiv_pos_as_xyz
'x,y,z'
'x,-y,z'
'x+1/2,y+1/2,z'
'x+1/2,-y+1/2,z'
loop_
_atom_site_label
_atom_site_fract_x
_atom_site_fract_y
_atom_site_fract_z
U1 0.000 0.000 0.000
Br1 0.281 0.000 0.743
Br2 0.385 0.000 0.257
O1 0.167 0.500 0.000
```

---

3.
Density functional theory data (PBE) for a relaxed structure of UBrO5.

Summary:
**Calculated density**: 4.81 g/cm³
**E_tot**: -6.8766 eV per atom
**Magnetic moment**: 3.9 μB/cell

The structure in CIF format:
```
data_UBrO5
_chemical_formula_sum 'U4 Br4 O20'
_cell_length_a 8.516
_cell_length_b 6.195
_cell_length_c 10.692
_cell_angle_alpha 90.00
_cell_angle_beta 102.82
_cell_angle_gamma 90.00
_symmetry_space_group_name_H-M 'P 1 21/c 1'
_symmetry_Int_Tables_number 14
loop_
_symmetry_equiv_pos_as_xyz
'x,y,z'
'-x,-y,-z'
'-x,y+1/2,-z+1/2'
'x,-y+1/2,z+1/2'
loop_
_atom_site_label
_atom_site_fract_x
_atom_site_fract_y
_atom_site_fract_z
U1 0.173 0.151 0.039
Br1 0.357 0.606 0.851
O1 0.049 0.615 0.598
O2 0.090 0.157 0.636
O3 0.286 0.521 0.450
O4 0.316 0.038 0.477
O5 0.384 0.069 0.232
```

---

4.
Density functional theory data (PBE) for a relaxed structure of U2Br4O3.

Summary:
**Calculated density**: 4.85 g/cm³
**E_tot**: -7.0864 eV per atom
**Magnetic moment**: 2.0 μB/cell

The structure in CIF format:
```
data_U2Br4O3
_chemical_formula_sum 'U2 Br4 O3'
_cell_length_a 4.141
_cell_length_b 7.810
_cell_length_c 9.347
_cell_angle_alpha 77.80
_cell_angle_beta 78.22
_cell_angle_gamma 89.97
_symmetry_space_group_name_H-M 'P -1'
_symmetry_Int_Tables_number 2
loop_
_symmetry_equiv_pos_as_xyz
'x,y,z'
'-x,-y,-z'
loop_
_atom_site_label
_atom_site_fract_x
_atom_site_fract_y
_atom_site_fract_z
U1 0.045 0.265 0.403
Br1 0.090 0.645 0.305
Br2 0.176 0.223 0.121
O1 0.000 0.000 0.500
O2 0.457 0.726 0.593
```

---

5.
Density functional theory data (PBE) for a relaxed structure of U2Br8O.

Summary:
**Calculated density**: 3.67 g/cm³
**E_tot**: -5.1740 eV per atom
**Magnetic moment**: 4.0 μB/cell

The structure in CIF format:
```
data_U2Br8O
_chemical_formula_sum 'U4 Br16 O2'
_cell_length_a 16.622
_cell_length_b 11.494
_cell_length_c 5.703
_cell_angle_alpha 90.00
_cell_angle_beta 109.98
_cell_angle_gamma 90.00
_symmetry_space_group_name_H-M 'C 1 2/m 1'
_symmetry_Int_Tables_number 12
loop_
_symmetry_equiv_pos_as_xyz
'x,y,z'
'-x,-y,-z'
'-x,y,-z'
'x,-y,z'
'x+1/2,y+1/2,z'
'-x+1/2,-y+1/2,-z'
'-x+1/2,y+1/2,-z'
'x+1/2,-y+1/2,z'
loop_
_atom_site_label
_atom_site_fract_x
_atom_site_fract_y
_atom_site_fract_z
U1 0.132 0.000 0.130
Br1 0.131 0.000 0.630
Br2 0.131 0.231 0.129
Br3 0.199 0.500 0.702
O1 0.000 0.000 0.000
```

---

6.
Density functional theory data (PBE) for a relaxed structure of U2Br2O.

Summary:
**Calculated density**: 6.42 g/cm³
**E_tot**: -6.8771 eV per atom
**Magnetic moment**: 5.7 μB/cell

The structure in CIF format:
```
data_U2Br2O
_chemical_formula_sum 'U2 Br2 O1'
_cell_length_a 3.517
_cell_length_b 3.517
_cell_length_c 13.631
_cell_angle_alpha 90.00
_cell_angle_beta 90.00
_cell_angle_gamma 90.00
_symmetry_space_group_name_H-M 'P 4/m m m'
_symmetry_Int_Tables_number 123
_symmetry_space_group_name_Hall '-P 4 2'
loop_
_atom_site_label
_atom_site_fract_x
_atom_site_fract_y
_atom_site_fract_z
U1 0.000 0.000 0.151
Br1 0.000 0.000 0.345
O1 0.000 0.000 0.000
```